Computed, not measured: a geometry-optimized Th3Cd4Ag4 structure at the PBE level of DFT.

Energy of formation from the pure elements = -0.08 eV per atom
Energy above the lowest structure with this stoichiometry = 63 meV/atom
D(E_F) = 11.196 states/eV/cell
Space group = Immm (71)

Cell: 4.509 7.755 8.827 Å, 116.06 104.80 90.00°
Atoms (fractional coordinates):
Ag (0.500, 0.812, 0.000)
Th (0.878, 0.878, 0.757)
Th (0.122, 0.122, 0.243)
Th (0.000, 0.500, 0.000)
Cd (0.328, 0.133, 0.655)
Ag (0.780, 0.280, 0.560)
Cd (0.672, 0.867, 0.345)
Cd (0.328, 0.523, 0.655)
Ag (0.220, 0.720, 0.440)
Cd (0.672, 0.477, 0.345)
Ag (0.500, 0.188, 0.000)

***

Computed, not measured: a geometry-optimized Zn2TeOs structure at the PBE level of DFT.

Total energy = -3.985 eV/atom
D(E_F) = 2.023 states/eV/cell
Space group = Imm2 (44)

Cell: 6.754 6.754 6.754 Å, 154.11 143.64 45.18°
Atoms (fractional coordinates):
Zn (0.667, 0.167, 0.500)
Os (0.494, 0.494, 0.000)
Zn (0.020, 0.020, 0.000)
Te (0.319, 0.819, 0.500)

***

Computed, not measured: a geometry-optimized Y8Te4As3P structure at the PBE level of DFT.

Total energy = -6.756 eV/atom
D(E_F) = 6.081 states/eV/cell
Space group = R-3m (166)

Cell: 8.372 8.577 8.372 Å, 119.22 120.00 90.00°
Atoms (fractional coordinates):
Te (0.000, 0.000, 0.000)
P (0.000, 0.500, 0.000)
Y (0.235, 0.714, 0.470)
Y (0.261, 0.282, 0.522)
Y (0.256, 0.286, 0.021)
As (0.500, 0.500, 0.000)
As (0.500, 0.500, 0.500)
Y (0.744, 0.714, 0.979)
Y (0.739, 0.718, 0.478)
Y (0.765, 0.286, 0.530)
Te (0.000, 0.000, 0.500)
As (0.000, 0.500, 0.500)
Te (0.500, 0.000, 0.500)
Y (0.235, 0.714, 0.979)
Te (0.500, 0.000, 0.000)
Y (0.765, 0.286, 0.021)

***

Computed, not measured: a geometry-optimized Pr2DyCd structure at the PBE level of DFT.

Energy of formation from the pure elements = 0.14 eV per atom
Energy above the lowest structure with this stoichiometry = 289 meV/atom
D(E_F) = 4.156 states/eV/cell
Space group = R-3m (166)

Cell: 3.547 3.547 12.651 Å, 81.94 81.94 60.00°
Atoms (fractional coordinates):
Cd (0.000, 0.000, 0.000)
Dy (0.500, 0.500, 0.500)
Pr (0.911, 0.911, 0.267)
Pr (0.089, 0.089, 0.733)

***

Computed, not measured: a geometry-optimized CoTcAs2 structure at the PBE level of DFT.

Energy of formation from the pure elements = 0.09 eV per atom
Energy above the lowest structure with this stoichiometry = 164 meV/atom
D(E_F) = 4.026 states/eV/cell
Space group = C2/m (12)

Cell: 4.134 4.134 4.987 Å, 80.04 80.04 43.35°
Atoms (fractional coordinates):
As (0.004, 0.004, 0.006)
Co (0.250, 0.250, 0.250)
As (0.496, 0.496, 0.494)
Tc (0.750, 0.750, 0.750)

***

Computed, not measured: a geometry-optimized Ga2SbF2 structure at the PBE level of DFT.

Energy above the lowest structure with this stoichiometry = 114 meV/atom
D(E_F) = 2.207 states/eV/cell
Space group = I4/mmm (139)

Cell: 3.642 3.642 6.826 Å, 74.53 74.53 90.00°
Atoms (fractional coordinates):
Ga (0.362, 0.362, 0.277)
F (0.250, 0.750, 0.500)
Sb (0.000, 0.000, 0.000)
Ga (0.638, 0.638, 0.723)
F (0.750, 0.250, 0.500)

***

Computed, not measured: a geometry-optimized Na4B7C structure at the PBE level of DFT.

Energy of formation from the pure elements = 0.26 eV per atom
Energy above the lowest structure with this stoichiometry = 41 meV/atom
D(E_F) = 9.633 states/eV/cell
Space group = P-3m1 (164)

Cell: 2.974 2.974 34.441 Å, 90.00 90.00 120.00°
Atoms (fractional coordinates):
B (0.667, 0.333, 0.564)
B (0.333, 0.667, 0.564)
Na (0.000, 0.000, 0.249)
B (0.667, 0.333, 0.690)
B (0.333, 0.667, 0.186)
B (0.333, 0.667, 0.060)
B (0.333, 0.667, 0.690)
C (0.667, 0.333, 0.936)
Na (0.000, 0.000, 0.875)
B (0.667, 0.333, 0.186)
Na (0.000, 0.000, 0.753)
B (0.333, 0.667, 0.936)
B (0.333, 0.667, 0.438)
B (0.667, 0.333, 0.312)
Na (0.000, 0.000, 0.627)
B (0.667, 0.333, 0.438)
Na (0.000, 0.000, 0.997)
C (0.333, 0.667, 0.814)
Na (0.000, 0.000, 0.123)
Na (0.000, 0.000, 0.375)
Na (0.000, 0.000, 0.501)
B (0.667, 0.333, 0.060)
B (0.667, 0.333, 0.814)
B (0.333, 0.667, 0.312)

***

Computed, not measured: a geometry-optimized Tb2Y7Er structure at the PBE level of DFT.

Energy of formation from the pure elements = 0.12 eV per atom
Energy above the lowest structure with this stoichiometry = 0 meV/atom
D(E_F) = 16.449 states/eV/cell
Space group = C2/m (12)

Cell: 3.503 15.172 15.172 Å, 156.50 90.07 90.07°
Atoms (fractional coordinates):
Y (0.767, 0.846, 0.646)
Er (0.000, 0.000, 0.000)
Y (0.767, 0.646, 0.846)
Tb (0.500, 0.192, 0.808)
Tb (0.500, 0.808, 0.192)
Y (0.233, 0.354, 0.154)
Y (0.000, 0.293, 0.707)
Y (0.500, 0.500, 0.500)
Y (0.000, 0.707, 0.293)
Y (0.233, 0.154, 0.354)

***

Computed, not measured: a geometry-optimized TaHg structure at the PBE level of DFT.

Energy of formation from the pure elements = 0.89 eV per atom
D(E_F) = 7.312 states/eV/cell
Space group = P6_3/mmc (194)

Cell: 4.651 4.651 9.191 Å, 90.00 90.00 120.00°
Atoms (fractional coordinates):
Ta (0.667, 0.333, 0.750)
Hg (0.333, 0.667, 0.924)
Hg (0.667, 0.333, 0.076)
Ta (0.000, 0.000, 0.250)
Ta (0.000, 0.000, 0.750)
Ta (0.333, 0.667, 0.250)
Hg (0.333, 0.667, 0.576)
Hg (0.667, 0.333, 0.424)

***

Computed, not measured: a geometry-optimized PPb structure at the PBE level of DFT.

Energy of formation from the pure elements = 0.07 eV per atom
D(E_F) = 4.151 states/eV/cell
Space group = Imm2 (44)

Cell: 11.449 3.289 6.168 Å, 90.00 90.00 90.00°
Atoms (fractional coordinates):
Pb (0.250, 0.500, 0.967)
Pb (0.750, 0.500, 0.967)
Pb (0.250, 0.000, 0.467)
P (0.000, 0.000, 0.331)
P (0.000, 0.500, 0.097)
P (0.500, 0.500, 0.831)
Pb (0.750, 0.000, 0.467)
P (0.500, 0.000, 0.597)

***

Computed, not measured: a geometry-optimized LiSc2ZnO structure at the PBE level of DFT.

Total energy = -5.469 eV/atom
D(E_F) = 5.285 states/eV/cell
Space group = P4/mmm (123)

Cell: 4.389 4.389 3.972 Å, 90.00 90.00 90.00°
Atoms (fractional coordinates):
Zn (0.500, 0.500, 0.500)
Sc (0.500, 0.000, 0.000)
O (0.000, 0.000, 0.000)
Li (0.000, 0.000, 0.500)
Sc (0.000, 0.500, 0.000)

***

Computed, not measured: a geometry-optimized ErPaBi2 structure at the PBE level of DFT.

Energy of formation from the pure elements = -0.32 eV per atom
Energy above the lowest structure with this stoichiometry = 88 meV/atom
D(E_F) = 5.475 states/eV/cell
Space group = P4/mmm (123)

Cell: 3.906 5.391 5.391 Å, 90.00 90.00 90.00°
Site moments in Bohr magnetons follow the coordinates.
Atoms (fractional coordinates):
Er (0.500, 0.000, 0.000)  0.31
Bi (0.000, 0.000, 0.500)  -0.05
Pa (0.500, 0.500, 0.500)  0.97
Bi (0.000, 0.500, 0.000)  -0.05

***

Computed, not measured: a geometry-optimized Sc2FeAgC structure at the PBE level of DFT.

Energy of formation from the pure elements = -0.36 eV per atom
D(E_F) = 3.412 states/eV/cell
Space group = P4/mmm (123)

Cell: 4.631 4.631 3.640 Å, 90.00 90.00 90.00°
Site moments in Bohr magnetons follow the coordinates.
Atoms (fractional coordinates):
Ag (0.500, 0.500, 0.500)  0.00
Sc (0.500, 0.000, 0.000)  -0.01
Sc (0.000, 0.500, 0.000)  -0.01
C (0.000, 0.000, 0.000)  0.00
Fe (0.000, 0.000, 0.500)  0.09

***

Computed, not measured: a geometry-optimized EuScZnGe structure at the PBE level of DFT.

Energy of formation from the pure elements = -0.44 eV per atom
D(E_F) = 2.912 states/eV/cell
Space group = F-43m (216)

Cell: 4.982 4.982 4.982 Å, 60.00 60.00 60.00°
Site moments in Bohr magnetons follow the coordinates.
Atoms (fractional coordinates):
Sc (0.500, 0.500, 0.500)  0.22
Ge (0.250, 0.250, 0.250)  -0.04
Eu (0.000, 0.000, 0.000)  6.79
Zn (0.750, 0.750, 0.750)  0.03

***

Computed, not measured: a geometry-optimized DyIn2GaBr6 structure at the PBE level of DFT.

Total energy = -3.436 eV/atom
D(E_F) = 0.000 states/eV/cell
Space group = R3 (146)

Cell: 8.008 8.008 8.217 Å, 60.82 60.82 59.99°
Atoms (fractional coordinates):
Br (0.454, 0.662, 0.773)
In (0.022, 0.022, 0.933)
Dy (0.322, 0.322, 0.033)
Ga (0.814, 0.814, 0.558)
Br (0.110, 0.454, 0.774)
Br (0.571, 0.182, 0.253)
Br (0.182, 0.993, 0.253)
Br (0.993, 0.571, 0.253)
Br (0.662, 0.110, 0.774)
In (0.530, 0.530, 0.410)

***

Computed, not measured: a geometry-optimized Li5Tl structure at the PBE level of DFT.

Energy of formation from the pure elements = -0.16 eV per atom
Energy above the lowest structure with this stoichiometry = 0 meV/atom
D(E_F) = 1.829 states/eV/cell
Space group = C2/m (12)

Cell: 5.583 5.583 5.738 Å, 56.83 56.83 51.18°
Atoms (fractional coordinates):
Li (0.694, 0.694, 0.611)
Li (0.363, 0.363, 0.243)
Tl (0.694, 0.694, 0.111)
Li (0.028, 0.028, 0.469)
Li (0.361, 0.361, 0.753)
Li (0.026, 0.026, 0.979)

***

Computed, not measured: a geometry-optimized TlSbSe3 structure at the PBE level of DFT.

Energy above the lowest structure with this stoichiometry = 240 meV/atom
D(E_F) = 5.895 states/eV/cell
Space group = Pm-3m (221)

Cell: 5.395 5.395 5.395 Å, 90.00 90.00 90.00°
Atoms (fractional coordinates):
Se (0.000, 0.500, 0.000)
Se (0.500, 0.000, 0.000)
Se (0.000, 0.000, 0.500)
Sb (0.000, 0.000, 0.000)
Tl (0.500, 0.500, 0.500)

***

Computed, not measured: a geometry-optimized AlCr structure at the PBE level of DFT.

Energy of formation from the pure elements = 0.06 eV per atom
D(E_F) = 4.011 states/eV/cell
Space group = C2/m (12)

Cell: 4.577 4.577 4.666 Å, 82.50 82.50 33.07°
Atoms (fractional coordinates):
Cr (0.500, 0.500, 0.498)
Al (0.998, 0.998, 0.004)
Al (0.752, 0.752, 0.746)
Cr (0.250, 0.250, 0.252)

***

Computed, not measured: a geometry-optimized K2AcTcN4 structure at the PBE level of DFT.

Total energy = -6.696 eV/atom
D(E_F) = 0.000 states/eV/cell
Space group = Pmn2_1 (31)

Cell: 5.767 7.986 7.188 Å, 90.00 90.00 90.00°
Atoms (fractional coordinates):
K (0.961, 0.635, 0.231)
Ac (0.973, 0.096, 0.500)
Ac (0.473, 0.904, 0.000)
N (0.822, 0.818, 0.500)
N (0.322, 0.182, 0.000)
Tc (0.510, 0.822, 0.500)
N (0.919, 0.282, 0.783)
K (0.461, 0.365, 0.269)
Tc (0.010, 0.178, 0.000)
N (0.435, 0.047, 0.500)
N (0.419, 0.718, 0.717)
K (0.961, 0.635, 0.769)
N (0.919, 0.282, 0.217)
K (0.461, 0.365, 0.731)
N (0.935, 0.953, 0.000)
N (0.419, 0.718, 0.283)

***

Computed, not measured: a geometry-optimized LiBe2Ir2 structure at the PBE level of DFT.

Energy of formation from the pure elements = -0.28 eV per atom
Energy above the lowest structure with this stoichiometry = 175 meV/atom
D(E_F) = 6.021 states/eV/cell
Space group = P4/mbm (127)

Cell: 6.514 6.514 2.812 Å, 90.00 90.00 90.00°
Atoms (fractional coordinates):
Be (0.644, 0.856, 0.500)
Ir (0.351, 0.851, 0.000)
Ir (0.649, 0.149, 0.000)
Be (0.356, 0.144, 0.500)
Ir (0.851, 0.649, 0.000)
Be (0.144, 0.644, 0.500)
Ir (0.149, 0.351, 0.000)
Li (0.500, 0.500, 0.000)
Li (0.000, 0.000, 0.000)
Be (0.856, 0.356, 0.500)

***

Computed, not measured: a geometry-optimized AsSCl3 structure at the PBE level of DFT.

Energy above the lowest structure with this stoichiometry = 0 meV/atom
Space group = P1 (1)

Cell: 8.060 8.049 8.620 Å, 90.02 62.06 59.99°
Site moments in Bohr magnetons follow the coordinates.
Atoms (fractional coordinates):
As (0.293, 0.308, 0.870)  0.00
S (0.800, 0.555, 0.609)  0.58
As (0.134, 0.888, 0.609)  0.00
Cl (0.370, 0.978, 0.463)  0.00
Cl (0.370, 0.561, 0.463)  0.00
S (0.626, 0.641, 0.872)  0.58
Cl (0.953, 0.978, 0.463)  0.00
Cl (0.473, 0.218, 0.016)  0.00
Cl (0.057, 0.218, 0.015)  0.00
Cl (0.057, 0.635, 0.015)  0.00

***

Computed, not measured: a geometry-optimized ZrAlFeCl2 structure at the PBE level of DFT.

Total energy = -4.345 eV/atom
D(E_F) = 5.917 states/eV/cell
Space group = P4/mmm (123)

Cell: 4.506 6.073 4.506 Å, 90.00 90.00 90.00°
Site moments in Bohr magnetons follow the coordinates.
Atoms (fractional coordinates):
Zr (0.000, 0.500, 0.000)  -0.95
Al (0.000, 0.000, 0.000)  -0.01
Fe (0.500, 0.500, 0.500)  3.04
Cl (0.500, 0.000, 0.000)  -0.01
Cl (0.000, 0.000, 0.500)  -0.01

***

Computed, not measured: a geometry-optimized GeAuSe2N structure at the PBE level of DFT.

Energy above the lowest structure with this stoichiometry = 0 meV/atom
D(E_F) = 4.283 states/eV/cell
Space group = P4/mmm (123)

Cell: 5.297 5.297 3.440 Å, 90.00 90.00 90.00°
Atoms (fractional coordinates):
N (0.000, 0.000, 0.500)
Ge (0.000, 0.000, 0.000)
Au (0.500, 0.500, 0.500)
Se (0.000, 0.500, 0.000)
Se (0.500, 0.000, 0.000)

***

Computed, not measured: a geometry-optimized Pm12Ge6N structure at the PBE level of DFT.

Total energy = -5.503 eV/atom
D(E_F) = 19.139 states/eV/cell
Space group = R-3 (148)

Cell: 8.332 8.332 8.332 Å, 98.62 98.62 98.62°
Atoms (fractional coordinates):
Pm (0.814, 0.573, 0.437)
Ge (0.707, 0.877, 0.372)
Pm (0.427, 0.563, 0.186)
Ge (0.877, 0.372, 0.707)
Pm (0.695, 0.931, 0.025)
Pm (0.437, 0.814, 0.573)
N (0.000, 0.000, 0.000)
Ge (0.372, 0.707, 0.877)
Ge (0.123, 0.628, 0.293)
Pm (0.186, 0.427, 0.563)
Pm (0.305, 0.069, 0.975)
Pm (0.573, 0.437, 0.814)
Pm (0.069, 0.975, 0.305)
Pm (0.025, 0.695, 0.931)
Pm (0.563, 0.186, 0.427)
Ge (0.628, 0.293, 0.123)
Pm (0.931, 0.025, 0.695)
Pm (0.975, 0.305, 0.069)
Ge (0.293, 0.123, 0.628)